Entry w
CsIrSeBr2 (PBE, relaxed); N(E_F) = 2.0690 states/eV per atom; mass density = 4.04 g/cm³; symmetry = P4/mmm; total magnetization = 4.98 Bohr magnetons per cell
1.0
-0.756 -5.805 2.400
4.843 -2.078 -3.502
3.661 1.298 4.292
Ir Se Cs Br
1 1 1 2
Cartesian
3.874 -3.293 1.595
1.830 0.649 2.146
0.000 0.000 0.000
-0.378 -2.903 1.200
2.421 -1.039 -1.751

=====

Entry x
CsIrSeBr2 (PBE, relaxed); N(E_F) = 0.5302 states/eV per atom; mass density = 6.39 g/cm³; symmetry = P4/mmm; total magnetization = 0.00 Bohr magnetons per cell
1.0
-2.398 4.797 -1.544
0.486 -1.482 -5.359
-4.230 -2.055 0.185
Br Ir Cs Se
2 1 1 1
Cartesian
-1.199 2.399 -0.772
0.243 -0.741 -2.680
0.000 0.000 0.000
-3.071 0.630 -3.359
-2.115 -1.028 0.092

=====

Energy relative to the most stable one, in kJ/mol of atoms: entry w 187.1; entry x 0.0

=====

Entry w
Cs2KBr2 (PBE, relaxed); N(E_F) = 0.5814 states/eV per atom; mass density = 2.25 g/cm³; symmetry = I4/mmm; total magnetization = 0.00 Bohr magnetons per cell
1.0
6.646 0.000 0.000
0.000 6.646 0.000
3.323 3.323 7.748
Br K Cs
2 1 2
Cartesian
3.323 6.646 3.874
6.646 3.323 3.874
0.000 0.000 0.000
3.323 3.323 2.689
6.646 6.646 5.059

=====

Entry x
Cs2KBr2 (PBE, relaxed); N(E_F) = 0.5104 states/eV per atom; mass density = 1.93 g/cm³; symmetry = I4/mmm; total magnetization = 0.00 Bohr magnetons per cell
1.0
-6.030 -3.505 0.769
3.192 -4.551 4.282
-3.317 0.637 8.898
Cs K Br
2 1 2
Cartesian
-5.383 -3.448 6.097
-0.772 -3.971 7.853
0.000 0.000 0.000
-3.587 -6.215 7.566
-2.568 -1.204 6.384

=====

Energy relative to the most stable one, in kJ/mol of atoms: entry w 8.3; entry x 0.0

=====

Entry w
CsK3Br (PBE, relaxed); N(E_F) = 0.8016 states/eV per atom; mass density = 1.66 g/cm³; symmetry = Pm-3m; total magnetization = 0.00 Bohr magnetons per cell
1.0
-4.680 5.089 0.038
-5.046 -4.634 -0.935
-0.663 -0.660 6.851
Cs K Br
1 3 1
Cartesian
-5.195 -0.102 2.977
-2.523 -2.317 -0.468
-0.332 -0.330 3.425
-2.340 2.545 0.019
0.000 0.000 0.000

=====

Entry x
CsK3Br (PBE, relaxed); N(E_F) = 1.3051 states/eV per atom; mass density = 1.00 g/cm³; symmetry = Pm-3m; total magnetization = 0.86 Bohr magnetons per cell
1.0
8.187 0.000 0.000
0.000 8.187 0.000
0.000 0.000 8.187
Cs Br K
1 1 3
Cartesian
0.000 0.000 0.000
4.093 4.093 4.093
4.093 0.000 0.000
0.000 4.093 0.000
0.000 0.000 4.093

=====

Energy relative to the most stable one, in kJ/mol of atoms: entry w 0.0; entry x 61.3

=====

Entry w
CsKBr (PBE, relaxed); N(E_F) = 0.2916 states/eV per atom; mass density = 2.34 g/cm³; symmetry = P4/nmm; total magnetization = 0.00 Bohr magnetons per cell
1.0
5.221 -0.229 0.000
0.229 5.221 0.000
0.000 0.000 13.093
Br Cs K
2 2 2
Cartesian
3.918 3.436 5.218
1.194 0.939 1.542
3.919 3.435 1.526
1.194 0.940 5.233
3.917 3.432 8.589
1.192 0.935 11.263

=====

Entry x
CsKBr (PBE, relaxed); N(E_F) = 0.3320 states/eV per atom; mass density = 2.29 g/cm³; symmetry = P3m1; total magnetization = 0.00 Bohr magnetons per cell
1.0
-4.942 -0.363 -0.173
2.819 -3.761 -1.580
-0.032 -3.341 7.900
Cs K Br
1 1 1
Cartesian
-0.003 -0.276 0.652
0.214 -4.523 3.369
-2.366 -2.667 2.127

=====

Energy relative to the most stable one, in kJ/mol of atoms: entry w 0.0; entry x 4.1

=====

Entry w
CsK2Br3 (PBE, relaxed); N(E_F) = 0.0000 states/eV per atom; mass density = 2.98 g/cm³; symmetry = Immm; total magnetization = 0.00 Bohr magnetons per cell
1.0
-2.125 3.017 -3.171
-5.831 -3.857 0.239
1.484 4.538 7.055
K Br Cs
2 3 1
Cartesian
-0.087 3.638 5.386
-6.386 0.060 -1.262
-0.321 3.777 1.942
-3.077 1.833 5.673
-3.395 1.865 -1.550
-3.236 1.849 2.062

=====

Entry x
CsK2Br3 (PBE, relaxed); N(E_F) = 0.0000 states/eV per atom; mass density = 2.95 g/cm³; symmetry = I4/mmm; total magnetization = 0.00 Bohr magnetons per cell
1.0
-1.189 0.569 -4.767
4.794 -0.101 -1.208
-2.297 -10.535 1.882
Cs Br K
1 3 2
Cartesian
-0.433 -9.004 -0.950
-0.266 -5.446 -0.570
1.690 -2.027 -3.215
1.370 -8.770 -3.938
-0.108 -2.176 -0.219
1.533 -5.297 -3.566

=====

Energy relative to the most stable one, in kJ/mol of atoms: entry w 0.0; entry x 0.8

=====

Entry w
CsKBr2 (PBE, relaxed); N(E_F) = 0.0000 states/eV per atom; mass density = 3.18 g/cm³; symmetry = R3m; total magnetization = 0.00 Bohr magnetons per cell
1.0
-0.258 2.006 4.425
-0.568 -2.823 3.922
8.120 -0.892 3.552
Cs Br K
1 2 1
Cartesian
3.685 -0.857 5.953
6.231 -0.753 3.379
1.612 -0.412 2.955
7.532 -1.434 9.113

=====

Entry x
CsKBr2 (PBE, relaxed); N(E_F) = 0.0000 states/eV per atom; mass density = 3.68 g/cm³; symmetry = P4/mmm; total magnetization = 0.00 Bohr magnetons per cell
1.0
4.201 0.000 0.000
0.000 4.201 0.000
0.000 0.000 8.488
K Br Cs
1 2 1
Cartesian
2.100 2.100 0.000
0.000 0.000 1.979
0.000 0.000 6.509
2.100 2.100 4.244

=====

Energy relative to the most stable one, in kJ/mol of atoms: entry w 0.0; entry x 3.8

=====

Entry w
Cs2K2Br (PBE, relaxed); N(E_F) = 0.9455 states/eV per atom; mass density = 1.86 g/cm³; symmetry = P4/mbm; total magnetization = 0.00 Bohr magnetons per cell
1.0
-8.094 4.538 0.083
-4.529 -8.065 -0.742
-0.276 -0.653 8.780
Br K Cs
2 4 4
Cartesian
0.000 0.000 0.000
-6.311 -1.763 -0.329
-6.239 -5.143 -0.578
-9.698 -1.828 -0.441
-2.925 -1.699 -0.218
-6.384 1.616 -0.081
-9.356 -3.853 3.838
-3.543 -0.326 4.283
-8.224 0.814 4.220
-4.675 -4.994 3.900

=====

Entry x
Cs2K2Br (PBE, relaxed); N(E_F) = 0.5540 states/eV per atom; mass density = 1.72 g/cm³; symmetry = P4/mbm; total magnetization = 0.00 Bohr magnetons per cell
1.0
9.630 0.000 0.000
0.000 9.630 0.000
0.000 0.000 8.819
K Cs Br
4 4 2
Cartesian
1.561 6.376 4.410
8.069 3.254 4.410
6.376 8.069 4.410
3.254 1.561 4.410
3.011 7.826 0.000
6.619 1.804 0.000
7.826 6.619 0.000
1.804 3.011 0.000
4.815 4.815 0.000
0.000 0.000 0.000

=====

Energy relative to the most stable one, in kJ/mol of atoms: entry w 4.1; entry x 0.0

=====

Entry w
Cs2KLiBr (PBE, relaxed); N(E_F) = 0.5420 states/eV per atom; mass density = 2.03 g/cm³; symmetry = P4/mmm; total magnetization = 0.00 Bohr magnetons per cell
1.0
7.812 0.000 0.000
0.000 7.812 0.000
0.000 0.000 5.252
K Cs Li Br
1 2 1 1
Cartesian
3.906 3.906 2.626
0.000 3.906 0.000
3.906 0.000 0.000
0.000 0.000 2.626
0.000 0.000 0.000

=====

Entry x
Cs2KLiBr (PBE, relaxed); N(E_F) = 0.6329 states/eV per atom; mass density = 1.96 g/cm³; symmetry = P4/mmm; total magnetization = 0.00 Bohr magnetons per cell
1.0
-6.299 -1.009 3.238
-2.156 -4.083 -5.465
2.370 -5.237 2.978
Cs K Li Br
2 1 1 1
Cartesian
-3.149 -0.504 1.619
-1.078 -2.041 -2.732
1.185 -2.618 1.489
-3.042 -5.164 0.376
0.000 0.000 0.000

=====

Energy relative to the most stable one, in kJ/mol of atoms: entry w 4.4; entry x 0.0

=====

Entry w
Cs2KNaBr (PBE, relaxed); N(E_F) = 0.5963 states/eV per atom; mass density = 1.99 g/cm³; symmetry = P4/mmm; total magnetization = 0.00 Bohr magnetons per cell
1.0
7.222 0.000 0.000
0.000 7.222 0.000
0.000 0.000 6.537
Cs Na Br K
2 1 1 1
Cartesian
0.000 3.611 0.000
3.611 0.000 0.000
3.611 3.611 3.269
0.000 0.000 0.000
0.000 0.000 3.269

=====

Entry x
Cs2KNaBr (PBE, relaxed); N(E_F) = 0.5592 states/eV per atom; mass density = 2.01 g/cm³; symmetry = P4/mmm; total magnetization = 0.00 Bohr magnetons per cell
1.0
-0.317 6.218 3.912
-0.770 -3.922 6.172
6.185 -0.121 0.694
Na Cs K Br
1 2 1 1
Cartesian
3.092 -0.061 0.347
-0.385 -1.961 3.086
-0.159 3.109 1.956
2.549 1.087 5.389
0.000 0.000 0.000

=====

Energy relative to the most stable one, in kJ/mol of atoms: entry w 0.0; entry x 6.8

=====

Entry w
Cs2KNiBr6 (PBE, relaxed); N(E_F) = 0.4320 states/eV per atom; mass density = 3.41 g/cm³; symmetry = P-3m1; total magnetization = 1.00 Bohr magnetons per cell
1.0
-5.124 6.128 0.340
-5.812 -4.769 -1.643
1.991 1.259 7.326
Br Cs Ni K
6 2 1 1
Cartesian
-4.473 -2.049 3.747
-3.399 5.346 6.227
-4.473 4.667 2.276
-5.547 -2.728 -0.204
-2.412 -0.156 0.682
-6.533 2.774 5.341
-1.453 0.258 4.392
-7.492 2.360 1.630
0.000 0.000 0.000
-2.562 3.064 0.170

=====

Entry x
Cs2KNiBr6 (PBE, relaxed); N(E_F) = 1.4738 states/eV per atom; mass density = 3.86 g/cm³; symmetry = I4/mmm; total magnetization = 1.00 Bohr magnetons per cell
1.0
8.009 0.000 0.000
0.000 8.009 0.000
4.004 4.004 5.656
Br Cs K Ni
6 2 1 1
Cartesian
8.009 8.009 2.481
4.004 4.004 3.175
1.759 6.250 0.000
6.250 1.759 0.000
6.250 6.250 0.000
1.759 1.759 0.000
4.004 8.009 2.828
8.009 4.004 2.828
4.004 4.004 0.000
0.000 0.000 0.000

=====

Energy relative to the most stable one, in kJ/mol of atoms: entry w 0.0; entry x 1.8

=====

Entry w
CsK2BrO (PBE, relaxed); N(E_F) = 0.0233 states/eV per atom; mass density = 3.05 g/cm³; symmetry = P4/mmm; total magnetization = 0.00 Bohr magnetons per cell
1.0
5.320 0.000 0.000
0.000 5.320 0.000
0.000 0.000 5.911
Cs O K Br
1 1 2 1
Cartesian
0.000 0.000 2.956
0.000 0.000 0.000
0.000 2.660 0.000
2.660 0.000 0.000
2.660 2.660 2.956

=====

Entry x
CsK2BrO (PBE, relaxed); mass density = 2.26 g/cm³; symmetry = P2_1/m; total magnetization = 0.18 Bohr magnetons per cell
1.0
5.282 0.000 0.000
0.000 8.378 -1.092
0.000 -1.619 10.419
K Br O Cs
4 2 2 2
Cartesian
1.321 -0.602 6.849
3.962 7.361 2.478
1.321 -0.132 0.993
3.962 6.890 8.333
3.962 1.230 6.143
1.321 5.529 3.184
3.962 0.461 1.589
1.321 6.298 7.737
1.321 3.914 6.706
3.962 2.845 2.621

=====

Energy relative to the most stable one, in kJ/mol of atoms: entry w 0.0; entry x 0.5

=====

Entry w
CsKRb2Br (PBE, relaxed); N(E_F) = 0.6100 states/eV per atom; mass density = 1.95 g/cm³; symmetry = P4/mmm; total magnetization = 0.00 Bohr magnetons per cell
1.0
-2.540 5.719 3.593
-6.368 -0.748 -3.311
-2.163 -4.166 5.101
K Br Rb Cs
1 1 2 1
Cartesian
-1.082 -2.083 2.551
0.000 0.000 0.000
-3.184 -0.374 -1.656
-1.270 2.859 1.797
-5.536 0.402 2.692

=====

Entry x
CsKRb2Br (PBE, relaxed); N(E_F) = 0.6061 states/eV per atom; mass density = 1.93 g/cm³; symmetry = P4/mmm; total magnetization = 0.00 Bohr magnetons per cell
1.0
-6.504 -2.662 -0.522
2.560 -6.471 1.112
-0.934 0.869 7.207
Rb K Br Cs
2 1 1 1
Cartesian
1.280 -3.236 0.556
-3.252 -1.331 -0.261
-2.439 -4.132 3.899
0.000 0.000 0.000
-0.467 0.435 3.604

=====

Energy relative to the most stable one, in kJ/mol of atoms: entry w 4.4; entry x 0.0

=====

Entry w
CsK2RbBr (PBE, relaxed); N(E_F) = 0.6025 states/eV per atom; mass density = 1.81 g/cm³; symmetry = P4/mmm; total magnetization = 0.00 Bohr magnetons per cell
1.0
6.857 0.000 0.000
0.000 6.857 0.000
0.000 0.000 7.351
K Rb Cs Br
2 1 1 1
Cartesian
3.429 0.000 0.000
0.000 3.429 0.000
3.429 3.429 3.675
0.000 0.000 3.675
0.000 0.000 0.000

=====

Entry x
CsK2RbBr (PBE, relaxed); N(E_F) = 0.6022 states/eV per atom; mass density = 1.81 g/cm³; symmetry = P4/mmm; total magnetization = 0.00 Bohr magnetons per cell
1.0
6.942 0.000 0.000
0.000 6.942 0.000
0.000 0.000 7.181
K Br Rb Cs
2 1 1 1
Cartesian
0.000 3.471 0.000
3.471 0.000 0.000
0.000 0.000 0.000
0.000 0.000 3.590
3.471 3.471 3.590

=====

Energy relative to the most stable one, in kJ/mol of atoms: entry w 0.0; entry x 2.9

=====

Entry w
CsK2SrBr (PBE, relaxed); N(E_F) = 0.8402 states/eV per atom; mass density = 1.93 g/cm³; symmetry = P4/mmm; total magnetization = 0.01 Bohr magnetons per cell
1.0
7.226 0.000 0.000
0.000 7.226 0.000
0.000 0.000 6.230
K Sr Cs Br
2 1 1 1
Cartesian
3.613 0.000 0.000
0.000 3.613 0.000
0.000 0.000 3.115
3.613 3.613 3.115
0.000 0.000 0.000

=====

Entry x
CsK2SrBr (PBE, relaxed); N(E_F) = 0.9769 states/eV per atom; mass density = 1.96 g/cm³; symmetry = P4/mmm; total magnetization = 0.50 Bohr magnetons per cell
1.0
6.695 0.000 0.000
0.000 6.695 0.000
0.000 0.000 7.151
K Br Cs Sr
2 1 1 1
Cartesian
0.000 3.347 0.000
3.347 0.000 0.000
0.000 0.000 0.000
0.000 0.000 3.575
3.347 3.347 3.575

=====

Energy relative to the most stable one, in kJ/mol of atoms: entry w 1.2; entry x 0.0